# 1
DFT (GGA-PBE) results for a relaxed structure of Na2In3Pt2.

Properties
* magnetization: 0.00 μB per cell
* ΔE_f: -402.8 meV per atom
* V: 22.8 Å³/atom
* ρ: 8110 kg/m3
* final energy: -25.755 eV per cell
* symmetry: C2/m (12)
* DOS at the Fermi energy: 0.36 states/eV/atom

Unit cell a=5.7703 b=5.7703 c=7.6435 alpha=112.34 beta=112.34 gamma=43.50
Closest atoms and distances in Å follow each position.
Positions (direct):
Na 0.1580 0.1580 0.3035  4 Pt 3.01-3.30, 3 In 3.32-3.35
Na 0.8420 0.8420 0.6965  4 Pt 3.01-3.30, 3 In 3.32-3.35
In 0.3703 0.3703 0.0436  3 Pt 2.76-2.81
In 0.5000 0.5000 0.5000  4 Pt 2.71
In 0.6297 0.6297 0.9564  3 Pt 2.76-2.81
Pt 0.1289 0.1289 0.7173  5 In 2.71-2.81, 1 Na 3.01
Pt 0.8711 0.8711 0.2827  5 In 2.71-2.81, 1 Na 3.01

---

# 2
DFT (GGA-PBE) results for a relaxed structure of Na2InPt.

Properties
* magnetization: 0.00 μB per cell
* ΔE_f: -62.6 meV per atom
* V: 22.0 Å³/atom
* ρ: 6704 kg/m3
* final energy: -23.335 eV per cell
* symmetry: I-42d (122)
* DOS at the Fermi energy: 0.38 states/eV/atom

Unit cell a=11.2714 b=11.2714 c=11.2714 alpha=159.45 beta=159.45 gamma=29.22
Closest atoms and distances in Å follow each position.
Positions (direct):
Na 0.1065 0.6250 0.9815  4 Na 2.74-2.95, 2 Pt 3.05
Na 0.3750 0.3565 0.4815  4 Na 2.74-2.95, 2 Pt 3.05
Na 0.6435 0.1250 0.0185  4 Na 2.74-2.95, 2 Pt 3.05
Na 0.8750 0.8935 0.5185  4 Na 2.74-2.95, 2 Pt 3.05
In 0.2500 0.7500 0.5000  4 Pt 2.84, 4 Na 3.10
In 0.5000 0.5000 0.0000  4 Pt 2.84, 4 Na 3.10
Pt 0.0000 0.0000 0.0000  4 In 2.84, 4 Na 3.05
Pt 0.7500 0.2500 0.5000  4 In 2.84, 4 Na 3.05

---

# 3
DFT (GGA-PBE) results for a relaxed structure of NaInPt2.

Properties
* magnetization: 0.00 μB per cell
* ΔE_f: -295.1 meV per atom
* V: 18.5 Å³/atom
* ρ: 11873 kg/m3
* final energy: -17.320 eV per cell
* symmetry: P4/mmm (123)
* DOS at the Fermi energy: 0.23 states/eV/atom

Unit cell a=3.0342 b=3.0342 c=8.0207 alpha=90.00 beta=90.00 gamma=90.00
Closest atoms and distances in Å follow each position.
Positions (direct):
Na 0.0000 0.0000 0.0000  4 Na 3.03, 8 Pt 3.08
In 0.0000 0.0000 0.5000  8 Pt 2.80, 4 In 3.03
Pt 0.5000 0.5000 0.2751  4 In 2.80, 4 Pt 3.03, 4 Na 3.08
Pt 0.5000 0.5000 0.7249  4 In 2.80, 4 Pt 3.03, 4 Na 3.08

---

# 4
DFT (GGA-PBE) results for a relaxed structure of NaIn2Pt.

Properties
* magnetization: 0.00 μB per cell
* ΔE_f: -347.1 meV per atom
* V: 23.9 Å³/atom
* ρ: 7789 kg/m3
* final energy: -14.225 eV per cell
* symmetry: R3m (160)
* DOS at the Fermi energy: 0.25 states/eV/atom

Unit cell a=5.8719 b=5.8719 c=5.8719 alpha=45.97 beta=45.97 gamma=45.97
Closest atoms and distances in Å follow each position.
Positions (direct):
Na 0.0000 0.0000 0.0000  1 Pt 2.92, 6 In 3.09-3.23
In 0.2154 0.2154 0.2154  3 Pt 2.85
In 0.4345 0.4345 0.4345  3 Pt 2.75
Pt 0.8142 0.8142 0.8142  6 In 2.75-2.85, 1 Na 2.92

---

# 5
DFT (GGA-PBE) results for a relaxed structure of Na2InPt2.

Properties
* ΔE to the lowest computed polymorph: 53 meV/atom
* magnetization: 0.00 μB per cell
* ΔE_f: -294.4 meV per atom
* V: 21.9 Å³/atom
* ρ: 8360 kg/m3
* final energy: -37.861 eV per cell
* symmetry: P4/mbm (127)
* DOS at the Fermi energy: 0.51 states/eV/atom

Unit cell a=6.7965 b=6.7965 c=4.7384 alpha=90.00 beta=90.00 gamma=90.00
Closest atoms and distances in Å follow each position.
Positions (direct):
Na 0.1651 0.3349 0.0000  6 Pt 3.06-3.13, 1 Na 3.17
Na 0.3349 0.8349 0.0000  6 Pt 3.06-3.13, 1 Na 3.17
Na 0.6651 0.1651 0.0000  6 Pt 3.06-3.13, 1 Na 3.17
Na 0.8349 0.6651 0.0000  6 Pt 3.06-3.13, 1 Na 3.17
In 0.0000 0.0000 0.5000  4 Pt 2.65
In 0.5000 0.5000 0.5000  4 Pt 2.65
Pt 0.1342 0.6342 0.5000  1 Pt 2.58, 2 In 2.65
Pt 0.3658 0.1342 0.5000  1 Pt 2.58, 2 In 2.65
Pt 0.6342 0.8658 0.5000  1 Pt 2.58, 2 In 2.65
Pt 0.8658 0.3658 0.5000  1 Pt 2.58, 2 In 2.65

---

# 6
DFT (GGA-PBE) results for a relaxed structure of NaIn5Pt.

Properties
* magnetization: 0.00 μB per cell
* ΔE_f: -248.7 meV per atom
* V: 24.3 Å³/atom
* ρ: 7726 kg/m3
* final energy: -22.793 eV per cell
* symmetry: P4/mmm (123)
* DOS at the Fermi energy: 0.24 states/eV/atom

Unit cell a=4.6974 b=4.6974 c=7.7163 alpha=90.00 beta=90.00 gamma=90.00
Closest atoms and distances in Å follow each position.
Positions (direct):
Na 0.0000 0.0000 0.0000  12 In 3.27-3.32
In 0.0000 0.5000 0.2957  2 Pt 2.83, 1 In 3.15
In 0.0000 0.5000 0.7043  2 Pt 2.83, 1 In 3.15
In 0.5000 0.0000 0.2957  2 Pt 2.83, 1 In 3.15
In 0.5000 0.0000 0.7043  2 Pt 2.83, 1 In 3.15
In 0.5000 0.5000 0.0000  8 In 3.27, 4 Na 3.32
Pt 0.0000 0.0000 0.5000  8 In 2.83

---

# 7
DFT (GGA-PBE) results for a relaxed structure of Na2In8Pt.

Properties
* magnetization: 0.00 μB per cell
* ΔE_f: -188.3 meV per atom
* V: 24.9 Å³/atom
* ρ: 7023 kg/m3
* final energy: -32.658 eV per cell
* symmetry: P4/mmm (123)
* DOS at the Fermi energy: 0.38 states/eV/atom

Unit cell a=4.7291 b=4.7291 c=12.2596 alpha=90.00 beta=90.00 gamma=90.00
Closest atoms and distances in Å follow each position.
Positions (direct):
Na 0.0000 0.0000 0.1887  12 In 3.28-3.34
Na 0.0000 0.0000 0.8113  12 In 3.28-3.34
In 0.0000 0.5000 0.0000  4 Na 3.31, 8 In 3.32-3.34
In 0.0000 0.5000 0.3739  2 Pt 2.83, 1 In 3.09
In 0.0000 0.5000 0.6261  2 Pt 2.83, 1 In 3.09
In 0.5000 0.0000 0.0000  4 Na 3.31, 8 In 3.32-3.34
In 0.5000 0.0000 0.3739  2 Pt 2.83, 1 In 3.09
In 0.5000 0.0000 0.6261  2 Pt 2.83, 1 In 3.09
In 0.5000 0.5000 0.1896  8 In 3.27-3.32, 4 Na 3.34
In 0.5000 0.5000 0.8104  8 In 3.27-3.32, 4 Na 3.34
Pt 0.0000 0.0000 0.5000  8 In 2.83

---

# 8
DFT (GGA-PBE) results for a relaxed structure of NaIn3Pt2.

Properties
* magnetization: 0.00 μB per cell
* ΔE_f: -357.3 meV per atom
* V: 23.0 Å³/atom
* ρ: 9124 kg/m3
* final energy: -71.280 eV per cell
* symmetry: C2/m (12)
* DOS at the Fermi energy: 0.39 states/eV/atom

Unit cell a=9.1537 b=9.1537 c=10.8669 alpha=107.27 beta=107.27 gamma=28.51
Closest atoms and distances in Å follow each position.
Positions (direct):
Na 0.0000 0.0000 0.0000  6 Pt 3.20-3.49, 6 In 3.24-3.47
Na 0.1578 0.1578 0.7053  7 In 3.40-3.75, 6 Pt 3.42-3.61
Na 0.8422 0.8422 0.2947  7 In 3.40-3.75, 6 Pt 3.42-3.61
In 0.0395 0.0395 0.3333  4 Pt 2.68-2.84
In 0.2224 0.2224 0.3861  4 Pt 2.66-2.87
In 0.3236 0.3236 0.0522  4 Pt 2.67-2.90, 1 In 2.99
In 0.3846 0.3846 0.8242  4 Pt 2.75-2.82, 1 In 2.99
In 0.5000 0.5000 0.5000  4 Pt 2.70-2.87
In 0.6154 0.6154 0.1758  4 Pt 2.75-2.82, 1 In 2.99
In 0.6764 0.6764 0.9478  4 Pt 2.67-2.90, 1 In 2.99
In 0.7776 0.7776 0.6139  4 Pt 2.66-2.87
In 0.9605 0.9605 0.6667  4 Pt 2.68-2.84
Pt 0.1885 0.1885 0.1208  6 In 2.72-2.90
Pt 0.3641 0.3641 0.5630  7 In 2.66-2.87
Pt 0.4681 0.4681 0.2245  5 In 2.67-2.87
Pt 0.5319 0.5319 0.7755  5 In 2.67-2.87
Pt 0.6359 0.6359 0.4370  7 In 2.66-2.87
Pt 0.8115 0.8115 0.8792  6 In 2.72-2.90

---

> The lowest DOS at the Fermi energy belongs to which entry?

NaInPt2

---

> What is the ΔE_f in the third record?

-295.1 meV per atom

---

> Among the records above, which one has the highest ΔE_f?

Na2InPt